16
Lattice="-1.635 -5.431 0.767 2.876 -4.241 -2.549 3.237 -3.548 3.130" Properties=species:S:1:pos:R:3 comment="PBEsol Li4CrNi3O8, optimized geometry" n_ef_per_ev_atom=0.451 magnetic_moment_mub_per_cell=6.004 crystal_system=trigonal raw_formation_energy_mev_per_atom=-1504 sg="R-3m (166)" pbc="T T T"
Ni 1.438 -2.121 -1.274
O 3.494 -9.931 1.190
Li 1.618 -1.774 1.565
O 4.272 -7.224 0.657
Li 3.056 -3.895 0.291
Li 2.239 -6.610 0.674
O 2.780 -5.024 1.980
Ni 0.621 -4.836 -0.891
O 2.546 -5.378 -1.029
O 0.206 -5.996 0.692
Cr 0.000 0.000 0.000
O 1.698 -8.196 -0.631
Li 0.801 -4.489 1.949
Ni -0.817 -2.716 0.384
O 1.932 -7.842 2.378
O 0.985 -3.290 0.159